Entry 1:
LaIn2Hg | PBE-GGA | relaxed

a = 3.473 Å, b = 4.997 Å, c = 6.409 Å
α = 90.00°, β = 90.09°, γ = 90.00°
Space group P2/m (No. 10)
Symmetry-distinct sites (fractional):
La 0.000 0.000 0.000 (multiplicity 1)
In 0.499 0.500 0.752 (multiplicity 2)
Hg 0.500 0.000 0.500 (multiplicity 1)

Spin magnetization   0.00 μB/cell
DOS(E_F)   0.7008 states/eV per atom
Calculated formation energy   -0.3041 eV/atom

Entry 2:
LaIn2Hg | PBE-GGA | relaxed

a = 4.774 Å, b = 9.954 Å, c = 18.908 Å
α = 90.00°, β = 90.00°, γ = 90.00°
Space group Immm (No. 71)
Symmetry-distinct sites (fractional):
La 0.000 0.000 0.202 (multiplicity 4)
La 0.000 0.233 0.000 (multiplicity 4)
In 0.000 0.000 0.423 (multiplicity 4)
In 0.000 0.353 0.194 (multiplicity 8)
In 0.000 0.500 0.429 (multiplicity 4)
Hg 0.000 0.262 0.355 (multiplicity 8)

Spin magnetization   0.00 μB/cell
DOS(E_F)   0.4130 states/eV per atom
Calculated formation energy   -0.3737 eV/atom

Entry 3:
LaIn2Hg2 | PBE-GGA | relaxed

a = 4.640 Å, b = 4.640 Å, c = 12.501 Å
α = 90.00°, β = 90.00°, γ = 90.00°
Space group I4/mmm (No. 139)
Symmetry-distinct sites (fractional):
La 0.000 0.000 0.000 (multiplicity 2)
In 0.000 0.500 0.250 (multiplicity 4)
Hg 0.000 0.000 0.391 (multiplicity 4)

Spin magnetization   0.00 μB/cell
Energy relative to the lowest polymorph listed for this composition   0.0015 eV/atom
DOS(E_F)   0.2721 states/eV per atom
Calculated formation energy   -0.3134 eV/atom

Entry 4:
LaInHg | PBE-GGA | relaxed

a = 10.922 Å, b = 4.763 Å, c = 6.559 Å
α = 90.00°, β = 92.39°, γ = 90.00°
Space group Cm (No. 8)
Symmetry-distinct sites (fractional):
La 0.000 0.000 0.000 (multiplicity 2)
La 0.128 0.500 0.475 (multiplicity 2)
In 0.312 0.000 0.239 (multiplicity 2)
In 0.430 0.500 0.496 (multiplicity 2)
Hg 0.192 0.500 0.971 (multiplicity 2)
Hg 0.326 0.000 0.740 (multiplicity 2)

Spin magnetization   0.00 μB/cell
DOS(E_F)   0.8855 states/eV per atom
Calculated formation energy   -0.4568 eV/atom

Entry 5:
La3In2Hg7 | PBE-GGA | relaxed

a = 6.2149 Å, b = 6.2149 Å, c = 28.8644 Å
α = 90.00°, β = 90.00°, γ = 120.00°
Space group R-3m (No. 166, hexagonal axes)
Symmetry-distinct sites (fractional):
La 0.0000 0.0000 0.0000 (multiplicity 3)
La 0.0000 0.0000 0.1398 (multiplicity 6)
In 0.0000 0.0000 0.3363 (multiplicity 6)
Hg 0.0000 0.0000 0.5000 (multiplicity 3)
Hg 0.0113 0.5057 0.9139 (multiplicity 18)

Spin magnetization   1.79 μB/cell
DOS(E_F)   0.8112 states/eV per atom
Calculated formation energy   -0.2678 eV/atom

Entry 6:
La2InHg | PBE-GGA | relaxed

a = 12.328 Å, b = 4.040 Å, c = 5.298 Å
α = 90.00°, β = 115.33°, γ = 90.00°
Space group Cm (No. 8)
Symmetry-distinct sites (fractional):
La 0.000 0.000 0.000 (multiplicity 2)
La 0.227 0.000 0.729 (multiplicity 2)
In 0.275 0.500 0.277 (multiplicity 2)
Hg 0.477 0.000 0.477 (multiplicity 2)

Spin magnetization   0.00 μB/cell
DOS(E_F)   1.1533 states/eV per atom
Calculated formation energy   -0.4438 eV/atom

Entry 7:
LaIn3Hg2 | PBE-GGA | relaxed

a = 17.452 Å, b = 4.943 Å, c = 8.598 Å
α = 90.00°, β = 119.03°, γ = 90.00°
Space group C2/m (No. 12)
Symmetry-distinct sites (fractional):
La 0.133 0.000 0.100 (multiplicity 4)
In 0.044 0.000 0.390 (multiplicity 4)
In 0.123 0.500 0.705 (multiplicity 4)
In 0.199 0.500 0.433 (multiplicity 4)
Hg 0.006 0.500 0.172 (multiplicity 4)
Hg 0.233 0.000 0.843 (multiplicity 4)

Spin magnetization   0.00 μB/cell
DOS(E_F)   0.5070 states/eV per atom
Calculated formation energy   -0.2687 eV/atom

Entry 8:
La3In4Hg2 | PBE-GGA | relaxed

a = 8.0276 Å, b = 8.0276 Å, c = 4.5842 Å
α = 90.00°, β = 90.00°, γ = 120.00°
Space group P-62m (No. 189)
Symmetry-distinct sites (fractional):
La 0.0000 0.4072 0.0000 (multiplicity 3)
In 0.0000 0.0000 0.0000 (multiplicity 1)
In 0.0000 0.7471 0.5000 (multiplicity 3)
Hg 0.3333 0.6667 0.5000 (multiplicity 2)

Spin magnetization   0.00 μB/cell
Energy relative to the lowest polymorph listed for this composition   0.0319 eV/atom
DOS(E_F)   0.6914 states/eV per atom
Calculated formation energy   -0.4743 eV/atom